First-principles (PBE) data for crystalline Ac6Cu2Ag at its relaxed geometry, as listed in the Alexandria database.

For the density, the calculation gives 8.54 Mg/m³. For the total moment, the calculation gives 0.000 μB/cell. The formation enthalpy at 0 K is -0.080 eV/atom.

```
data_Ac6Cu2Ag
_cell_length_a 10.410
_cell_length_b 10.763
_cell_length_c 11.090
_cell_angle_alpha 90.00
_cell_angle_beta 90.00
_cell_angle_gamma 90.00
_space_group_name_H-M_alt 'I m m m'
_space_group_IT_number 71
_space_group_name_Hall '-I 2 2'
loop_
_atom_site_label
_atom_site_fract_x
_atom_site_fract_y
_atom_site_fract_z
_atom_site_occupancy
Ac1 0.000 0.183 0.246 1
Ac2 0.186 0.500 0.174 1
Ac3 0.223 0.325 0.500 1
Cu1 0.000 0.344 0.000 1
Cu2 0.000 0.500 0.386 1
Ag1 0.000 0.000 0.000 1
Ag2 0.000 0.000 0.500 1
```